[1]
DFT (GGA-PBE) results for Rb2FeCl4 after structural relaxation.

space group	P2_1
VASP energy	-55.64	eV for the cell shown

abc: 7.134 7.235 9.289
angles: 90.00 109.21 90.00
Atoms (fractional coordinates):
Rb 0.204 0.000 0.040
Rb 0.296 0.001 0.578
Rb 0.704 0.501 0.422
Rb 0.796 0.500 0.960
Fe 0.213 0.506 0.789
Fe 0.787 0.006 0.211
Cl 0.002 0.251 0.272
Cl 0.004 0.255 0.731
Cl 0.373 0.511 0.048
Cl 0.419 0.508 0.645
Cl 0.581 0.008 0.355
Cl 0.627 0.011 0.952
Cl 0.996 0.755 0.269
Cl 0.998 0.751 0.728

[2]
DFT (GGA-PBE) results for Rb2FeSbCl6 after structural relaxation.

space group	R-3m
VASP energy	-73.36	eV for the cell shown

abc: 12.485 12.485 12.485
angles: 34.29 34.29 34.29
Atoms (fractional coordinates):
Rb 0.125 0.125 0.125
Rb 0.293 0.293 0.293
Rb 0.707 0.707 0.707
Rb 0.875 0.875 0.875
Fe 0.421 0.421 0.421
Fe 0.579 0.579 0.579
Sb 0.000 0.000 0.000
Sb 0.500 0.500 0.500
Cl 0.108 0.630 0.630
Cl 0.217 0.217 0.695
Cl 0.217 0.695 0.217
Cl 0.305 0.783 0.783
Cl 0.370 0.370 0.892
Cl 0.370 0.892 0.370
Cl 0.630 0.108 0.630
Cl 0.630 0.630 0.108
Cl 0.695 0.217 0.217
Cl 0.783 0.305 0.783
Cl 0.783 0.783 0.305
Cl 0.892 0.370 0.370

[3]
DFT (GGA-PBE) results for Rb2ScFeCl6 after structural relaxation.

space group	Fm-3m
VASP energy	-43.83	eV for the cell shown

abc: 7.087 7.087 7.087
angles: 60.00 60.00 60.00
Atoms (fractional coordinates):
Rb 0.250 0.250 0.250
Rb 0.750 0.750 0.750
Sc 0.000 0.000 0.000
Fe 0.500 0.500 0.500
Cl 0.251 0.251 0.749
Cl 0.251 0.749 0.251
Cl 0.251 0.749 0.749
Cl 0.749 0.251 0.251
Cl 0.749 0.251 0.749
Cl 0.749 0.749 0.251

[4]
DFT (GGA-PBE) results for FeSCl7 after structural relaxation.

space group	P2_1/c
VASP energy	-117.63	eV for the cell shown

abc: 6.393 12.192 13.446
angles: 90.00 101.39 90.00
Atoms (fractional coordinates):
Fe 0.110 0.016 0.233
Fe 0.110 0.484 0.733
Fe 0.890 0.516 0.267
Fe 0.890 0.984 0.767
S 0.469 0.746 0.414
S 0.469 0.754 0.914
S 0.531 0.246 0.086
S 0.531 0.254 0.586
Cl 0.015 0.550 0.129
Cl 0.015 0.950 0.629
Cl 0.116 0.571 0.403
Cl 0.116 0.929 0.903
Cl 0.155 0.662 0.724
Cl 0.155 0.838 0.224
Cl 0.308 0.668 0.004
Cl 0.308 0.832 0.504
Cl 0.314 0.141 0.611
Cl 0.314 0.359 0.111
Cl 0.351 0.145 0.984
Cl 0.351 0.355 0.484
Cl 0.418 0.100 0.246
Cl 0.418 0.400 0.746
Cl 0.582 0.600 0.254
Cl 0.582 0.900 0.754
Cl 0.649 0.645 0.516
Cl 0.649 0.855 0.016
Cl 0.686 0.641 0.889
Cl 0.686 0.859 0.389
Cl 0.692 0.168 0.496
Cl 0.692 0.332 0.996
Cl 0.845 0.162 0.776
Cl 0.845 0.338 0.276
Cl 0.884 0.071 0.097
Cl 0.884 0.429 0.597
Cl 0.985 0.050 0.371
Cl 0.985 0.450 0.871